Below is a relaxed structure of Ni2HIr, with properties calculated at the PBE-GGA level.

a = 2.5995 Å, b = 2.5995 Å, c = 21.2973 Å
α = 90.00°, β = 90.00°, γ = 120.00°
Closest atoms and distances in Å follow each position.
Space group R-3m (No. 166, hexagonal axes)
Inequivalent atoms, fractional coordinates:
Ni 0.0000 0.0000 0.1170  3 H 1.84
H 0.0000 0.0000 0.5000  6 Ni 1.84
Ir 0.0000 0.0000 0.0000  2 Ni 2.49, 6 Ir 2.60

Fermi-level density of states = 4.77 states/eV/f.u.
Calculated volume = 10.39 Å³/atom

Below is a relaxed structure of CaLaYAl, with properties calculated at the PBE-GGA level.

a = 7.7918 Å, b = 7.7918 Å, c = 7.7918 Å
α = 90.00°, β = 90.00°, γ = 90.00°
Closest atoms and distances in Å follow each position.
Space group F-43m (No. 216)
Inequivalent atoms, fractional coordinates:
Ca 0.0000 0.0000 0.0000  4 La 3.37, 4 Y 3.37
La 0.2500 0.2500 0.2500  4 Ca 3.37, 4 Al 3.37
Y 0.2500 0.2500 0.7500  4 Ca 3.37, 4 Al 3.37
Al 0.0000 0.0000 0.5000  4 La 3.37, 4 Y 3.37

E_form = -86 meV per atom
Fermi-level density of states = 2.94 states/eV/f.u.
Calculated volume = 29.57 Å³/atom

The following uncorrected energy values (in eV/atom) correspond, in order, to the records above: -5.685 -4.370.
The following ρ values (in g/cm3) correspond, in order, to the records above: 12.4 4.1.